Computed, not measured: a relaxed structure of VTe2HN at the GGA-PBE level of DFT.

Properties
For the size of the total moment, the calculation gives 0.454 μB/f.u. Its distance to the lowest polymorph of the same formula is 0.0 kJ per mole of atoms.

CIF file:
```
data_VTe2HN
_symmetry_space_group_name_H-M 'P 4/m m m'
_symmetry_Int_Tables_number 123
_symmetry_space_group_name_Hall '-P 4 2'
_cell_length_a 5.322
_cell_length_b 5.322
_cell_length_c 3.585
_cell_angle_alpha 90.00
_cell_angle_beta 90.00
_cell_angle_gamma 90.00
loop_
_atom_site_label
_atom_site_type_symbol
_atom_site_fract_x
_atom_site_fract_y
_atom_site_fract_z
V1 V 0.000 0.000 0.000
Te1 Te 0.000 0.500 0.000
H1 H 0.500 0.500 0.500
N1 N 0.000 0.000 0.500
```